Below is a relaxed In2AgTeSe2 crystal, with properties calculated at the PBE level.

a = 7.6675 Å, b = 7.7400 Å, c = 7.6477 Å
α = 120.40°, β = 90.00°, γ = 90.00°
Element x y z (fractional)
1 In 0.8183 0.8385 0.3350
2 In 0.8183 0.5034 0.6650
3 In 0.3183 0.4966 0.3350
4 In 0.3183 0.1615 0.6650
5 Ag 0.3072 0.8026 0.0000
6 Ag 0.8072 0.1974 0.0000
7 Te 0.6693 0.8550 0.0000
8 Te 0.1693 0.1450 0.0000
9 Se 0.1801 0.8255 0.3423
10 Se 0.1801 0.4831 0.6577
11 Se 0.6801 0.1745 0.6577
12 Se 0.6801 0.5169 0.3423

## Properties
Fermi-level density of states: 0.45 states/eV per atom
M_tot: 0.000 μB per atom
Symmetry: No. 36
Electronic total energy: -3.380 eV per atom
Theoretical density: 5.3 g/cm3